Record 1
DFT (PBE) results for crystalline KLiY4 at its relaxed geometry.

Cell: 6.8497 6.8497 6.8497 Å, 60.00 60.00 60.00°
Fractional coordinates of all 6 atoms:
K1 0.0000 0.0000 0.0000
Li1 0.7500 0.7500 0.7500
Y1 0.3761 0.3761 0.3761
Y2 0.3761 0.3761 0.8718
Y3 0.3761 0.8718 0.3761
Y4 0.8718 0.3761 0.3761

Values from the calculation:
* E_form: 51.5 kJ per mole of atoms



Record 2
DFT (PBE) results for crystalline KLiY2 at its relaxed geometry.

Cell: 3.3718 6.1290 6.7424 Å, 90.00 90.00 90.00°
Fractional coordinates of all 4 atoms:
K1 0.0000 0.0000 0.0000
Li1 0.0000 0.0000 0.5000
Y1 0.5000 0.5000 0.2664
Y2 0.5000 0.5000 0.7336

Values from the calculation:
* E_form: 46.9 kJ per mole of atoms



Record 3
DFT (PBE) results for crystalline KLiY2 at its relaxed geometry.

Cell: 3.7323 5.8115 6.4128 Å, 90.00 90.00 90.00°
Fractional coordinates of all 4 atoms:
K1 0.0000 0.0000 0.0000
Li1 0.5000 0.5000 0.0000
Y1 0.0000 0.5000 0.5000
Y2 0.5000 0.0000 0.5000

Values from the calculation:
* E_form: 38.7 kJ per mole of atoms



Record 4
DFT (PBE) results for crystalline KLiY2 at its relaxed geometry.

Cell: 7.3888 7.3888 3.4547 Å, 101.95 101.95 124.26°
Fractional coordinates of all 4 atoms:
K1 0.0000 0.0000 0.0000
Li1 0.5000 0.5000 0.0000
Y1 0.0000 0.5000 0.5000
Y2 0.5000 0.0000 0.5000

Values from the calculation:
* E_form: 38.9 kJ per mole of atoms



Record 5
DFT (PBE) results for crystalline KLi2Zn2 at its relaxed geometry.

Cell: 8.4415 8.4415 2.9959 Å, 90.00 90.00 90.00°
Fractional coordinates of all 10 atoms:
K1 0.0000 0.0000 0.0000
K2 0.5000 0.5000 0.0000
Li1 0.1720 0.3280 0.0000
Li2 0.3280 0.8280 0.0000
Li3 0.6720 0.1720 0.0000
Li4 0.8280 0.6720 0.0000
Zn1 0.1123 0.6123 0.5000
Zn2 0.3877 0.1123 0.5000
Zn3 0.6123 0.8877 0.5000
Zn4 0.8877 0.3877 0.5000

Values from the calculation:
* E_form: 3.7 kJ per mole of atoms



Record 6
DFT (PBE) results for crystalline KLiZn at its relaxed geometry.

Cell: 6.7660 6.7660 6.7660 Å, 148.64 147.06 46.12°
Fractional coordinates of all 3 atoms:
K1 0.0000 0.0000 0.0000
Li1 0.7330 0.7330 0.0000
Zn1 0.2893 0.2893 0.0000

Values from the calculation:
* E_form: 9.5 kJ per mole of atoms